Record 1
VASP calculation (PBE) on a relaxed structure of LaMo3Pb.

Cell and atoms, written as POSCAR:
```
LaMo3Pb
1.0
4.916 0.000 0.000
0.000 4.916 0.000
0.000 0.000 4.916
La Mo Pb
1 3 1
Cartesian
0.000 0.000 0.000
0.000 0.000 2.458
0.000 2.458 0.000
2.458 0.000 0.000
2.458 2.458 2.458
```

Formation enthalpy at 0 K ... 2.14 eV per atom
Crystal system ... cubic
Offset from the most stable computed form ... 233 meV per atom
SG ... Pm-3m, No. 221

=====

Record 2
VASP calculation (PBE) on a relaxed structure of PaTaReMo.

Cell and atoms, written as POSCAR:
```
PaTaReMo
1.0
0.000 3.330 3.330
3.330 0.000 3.330
3.330 3.330 0.000
Pa Ta Re Mo
1 1 1 1
Cartesian
0.000 0.000 0.000
3.330 3.330 3.330
1.665 1.665 1.665
4.994 4.994 4.994
```

Formation enthalpy at 0 K ... -0.07 eV per atom
Crystal system ... cubic
SG ... F-43m, No. 216